No. 1
Crystalline BaNaCu2Br6 at its relaxed geometry. Source: Alexandria via LeMat-Bulk, functional PBE-GGA.

The energy relative to the elements, uncorrected is -1.065 eV per atom.

The space group is R-3 (No. 148, hexagonal axes) and the conventional cell measures 7.2791, 7.2791 and 23.2611 Å, with angles of 90.00, 90.00 and 120.00 degrees. The asymmetric unit holds Ba at (0.0000, 0.0000, 0.0000), Na at (0.0000, 0.0000, 0.5000), Cu at (0.0000, 0.0000, 0.2463) and Br at (0.0003, 0.3557, 0.9142).

=====

No. 2
Crystalline TiB3As at its relaxed geometry. Source: Alexandria via LeMat-Bulk, functional PBE-GGA.

The formation energy is 160 kJ per mole of atoms. The calculation puts the energy relative to the lowest polymorph listed for this composition at 22.6 meV per atom.

The space group is Pm-3m (No. 221) and the conventional cell measures 4.1540, 4.1540 and 4.1540 Å, with angles of 90.00, 90.00 and 90.00 degrees. The asymmetric unit holds Ti at (0.0000, 0.0000, 0.0000), B at (0.0000, 0.0000, 0.5000) and As at (0.5000, 0.5000, 0.5000).

=====

No. 3
Crystalline Er5Cd2Ga2 at its relaxed geometry. Source: Alexandria via LeMat-Bulk, functional PBE-GGA.

The formation energy is -38 kJ per mole of atoms.

The space group is Cmce (No. 64) and the conventional cell measures 16.3362, 7.5538 and 7.5139 Å, with angles of 90.00, 90.00 and 90.00 degrees. The asymmetric unit holds Er at (0.0000, 0.0000, 0.0000), Er at (0.1285, 0.1842, 0.3214), Cd at (0.2207, 0.0000, 0.0000) and Ga at (0.0000, 0.1197, 0.6204).

=====

No. 4
Crystalline BeHgS2 at its relaxed geometry. Source: Alexandria via LeMat-Bulk, functional PBE-GGA.

The energy relative to the elements, uncorrected is -0.251 eV per atom. The calculation puts the energy relative to the lowest polymorph listed for this composition at 306.3 meV per atom.

The space group is R-3m (No. 166, hexagonal axes) and the conventional cell measures 3.5446, 3.5446 and 20.9612 Å, with angles of 90.00, 90.00 and 120.00 degrees. The asymmetric unit holds Be at (0.0000, 0.0000, 0.0000), Hg at (0.0000, 0.0000, 0.5000) and S at (0.0000, 0.0000, 0.3869).

=====

Total energy / eV/atom: -3.2121 -4.8592 -3.8092 -3.3218
Mass density / g/cm3: 3.6 3.6 8.6 6.0